# AlOs2Rh

Crystalline AlOs2Rh at its relaxed geometry (PBE-GGA, Alexandria).

Output
DFT total energy: -8.4467 eV per atom
Total moment: 0.000 μB/f.u.
DFT formation energy: -0.058 eV per atom
V: 14.20 Å³ per atom

abc: 2.7481 2.7481 26.0544
angles: 90.00 90.00 120.00
With the nearest neighbours (Å) after each atom.
Space group R-3m (No. 166, hexagonal axes)
Symmetry-distinct sites (fractional):
Al  0.0000  0.0000  0.0000 (multiplicity 3)  6 Os 2.65, 6 Al 2.75
Os  0.0000  0.0000  0.2517 (multiplicity 6)  3 Al 2.65, 3 Rh 2.73, 6 Os 2.75
Rh  0.0000  0.0000  0.5000 (multiplicity 3)  6 Os 2.73, 6 Rh 2.75

# Al2OsRh

Crystalline Al2OsRh at its relaxed geometry (PBE-GGA, Alexandria).

Output
DFT total energy: -7.2779 eV per atom
Total moment: 0.000 μB/f.u.
DFT formation energy: -0.761 eV per atom
V: 13.63 Å³ per atom

abc: 4.2411 4.2411 3.0313
angles: 90.00 90.00 90.00
With the nearest neighbours (Å) after each atom.
Space group P4/mmm (No. 123)
Symmetry-distinct sites (fractional):
Al  0.0000  0.5000  0.0000 (multiplicity 2)  4 Os 2.61, 4 Rh 2.61
Os  0.0000  0.0000  0.5000 (multiplicity 1)  8 Al 2.61
Rh  0.5000  0.5000  0.5000 (multiplicity 1)  8 Al 2.61

# AlOsRh2

Crystalline AlOsRh2 at its relaxed geometry (PBE-GGA, Alexandria).

Output
DFT total energy: -7.5541 eV per atom
Total moment: 0.000 μB/f.u.
DFT formation energy: -0.135 eV per atom
V: 14.20 Å³ per atom

abc: 2.9179 4.3973 4.4277
angles: 90.00 90.00 90.00
With the nearest neighbours (Å) after each atom.
Space group Pmmm (No. 47)
Symmetry-distinct sites (fractional):
Al  0.0000  0.0000  0.0000 (multiplicity 1)  4 Rh 2.64, 4 Os 2.65, 2 Al 2.92
Os  0.5000  0.0000  0.5000 (multiplicity 1)  4 Rh 2.64, 4 Al 2.65, 2 Os 2.92
Rh  0.0000  0.5000  0.5000 (multiplicity 1)  4 Os 2.64, 6 Rh 2.65-2.92
Rh  0.5000  0.5000  0.0000 (multiplicity 1)  4 Al 2.64, 6 Rh 2.65-2.92

What did the second record say?
# Al2OsRh

Crystalline Al2OsRh at its relaxed geometry (PBE-GGA, Alexandria).

Output
DFT total energy: -7.2779 eV per atom
Total moment: 0.000 μB/f.u.
DFT formation energy: -0.761 eV per atom
V: 13.63 Å³ per atom

abc: 4.2411 4.2411 3.0313
angles: 90.00 90.00 90.00
With the nearest neighbours (Å) after each atom.
Space group P4/mmm (No. 123)
Symmetry-distinct sites (fractional):
Al  0.0000  0.5000  0.0000 (multiplicity 2)  4 Os 2.61, 4 Rh 2.61
Os  0.0000  0.0000  0.5000 (multiplicity 1)  8 Al 2.61
Rh  0.5000  0.5000  0.5000 (multiplicity 1)  8 Al 2.61

What did the third record say?
# AlOsRh2

Crystalline AlOsRh2 at its relaxed geometry (PBE-GGA, Alexandria).

Output
DFT total energy: -7.5541 eV per atom
Total moment: 0.000 μB/f.u.
DFT formation energy: -0.135 eV per atom
V: 14.20 Å³ per atom

abc: 2.9179 4.3973 4.4277
angles: 90.00 90.00 90.00
With the nearest neighbours (Å) after each atom.
Space group Pmmm (No. 47)
Symmetry-distinct sites (fractional):
Al  0.0000  0.0000  0.0000 (multiplicity 1)  4 Rh 2.64, 4 Os 2.65, 2 Al 2.92
Os  0.5000  0.0000  0.5000 (multiplicity 1)  4 Rh 2.64, 4 Al 2.65, 2 Os 2.92
Rh  0.0000  0.5000  0.5000 (multiplicity 1)  4 Os 2.64, 6 Rh 2.65-2.92
Rh  0.5000  0.5000  0.0000 (multiplicity 1)  4 Al 2.64, 6 Rh 2.65-2.92